## Li3Co4WO8 (GGA+U)

Data for crystalline Li3Co4WO8 at its relaxed geometry.

Cell lengths 6.015, 6.015, 6.147 Å; angles 59.59, 59.59, 61.32 degrees
Sites, in units of the cell vectors:
Li: 0.000 0.500 0.000
Li: 0.500 0.000 0.000
Li: 0.000 0.000 0.500
Co: 0.000 0.000 0.000
Co: 0.500 0.000 0.500
Co: 0.000 0.500 0.500
Co: 0.500 0.500 0.500
W: 0.500 0.500 0.000
O: 0.734 0.734 0.770
O: 0.266 0.742 0.235
O: 0.742 0.266 0.235
O: 0.266 0.266 0.230
O: 0.249 0.249 0.728
O: 0.734 0.258 0.765
O: 0.258 0.734 0.765
O: 0.751 0.751 0.272

Computed properties:
Symmetry: C2/m (12)
Final energy: -6.105 eV/atom
Total moment: 13.0 Bohr magnetons per cell